## DyYNi (PBE-GGA)

Data for a relaxed DyYNi crystal.

The structure in CIF format:
```
data_DyYNi
_chemical_formula_sum 'Dy1 Y1 Ni1'
_symmetry_space_group_name_H-M 'P 3 m 1'
_symmetry_Int_Tables_number 156
_cell_length_a 3.9370
_cell_length_b 3.9370
_cell_length_c 6.1205
_cell_angle_alpha 90.00
_cell_angle_beta 90.00
_cell_angle_gamma 120.00
loop_
_symmetry_equiv_pos_as_xyz
'x,y,z'
'-y,x-y,z'
'-x+y,-x,z'
'-y,-x,z'
'-x+y,y,z'
'x,x-y,z'
loop_
_atom_site_label
_atom_site_type_symbol
_atom_site_fract_x
_atom_site_fract_y
_atom_site_fract_z
Dy1 Dy 0.0000 0.0000 0.0000
Y1 Y 0.6667 0.3333 0.5197
Ni1 Ni 0.3333 0.6667 0.7635
```

Density of states at the Fermi level in states/eV/atom: 0.650
Uncorrected energy in eV/atom: -5.771
ΔH_f (0 K) in eV per atom: -0.155
Size of the total moment in μB/f.u.: 0.000